Here is a relaxed Zr3Al3CuAu2 crystal from the Alexandria database. Energies are from PBE-GGA.

Unit cell a=4.052 b=6.846 c=6.846 alpha=120.00 beta=90.00 gamma=90.00
Fractional coordinates of all 9 atoms:
Au 0.500 0.667 0.333
Au 0.500 0.333 0.667
Zr 0.000 0.595 0.595
Zr 0.000 0.000 0.405
Zr 0.000 0.405 0.000
Al 0.500 0.000 0.760
Al 0.500 0.760 0.000
Al 0.500 0.240 0.240
Cu 0.000 0.000 0.000

Results
SG	P-62m
calculated volume	18.3	Å³ per atom
size of the total moment	0.00	μB/f.u.
electronic total energy	-5.822	eV per atom
DFT formation energy	-0.542	eV/atom